(w)
A plane-wave DFT calculation with PBE was carried out for KAg2Br after structural relaxation.

Output
- Calculated volume: 30.07 Å³ per atom
- Space-group type: P4/mmm (123)

```
KAg2Br
1.0
4.458 0.000 0.000
0.000 4.458 0.000
0.000 0.000 6.051
K Ag Br
1 2 1
Direct
0.000 0.000 0.000
0.500 0.500 0.226
0.500 0.500 0.774
0.000 0.000 0.500
```

***

(x)
A plane-wave DFT calculation with PBE was carried out for KAg2Br after structural relaxation.

Output
- Calculated volume: 30.53 Å³ per atom
- Space-group type: R3m (160)

```
KAg2Br
1.0
2.222 1.283 7.139
-2.222 1.283 7.139
0.000 -2.566 7.139
K Ag Br
1 2 1
Direct
0.000 0.000 0.000
0.491 0.491 0.491
0.777 0.777 0.777
0.243 0.243 0.243
```

***

(y)
A plane-wave DFT calculation with PBE was carried out for KAg2Br after structural relaxation.

Output
- Calculated volume: 28.09 Å³ per atom
- Space-group type: Pm (6)

```
KAg2Br
1.0
3.952 0.000 0.000
0.000 3.831 0.000
-1.964 0.000 7.421
K Ag Br
1 2 1
Direct
0.000 0.000 0.000
0.318 0.500 0.628
0.773 0.000 0.536
0.606 0.500 0.213
```

***

Q: Which of them is the most stable? A: (y).

***

(w)
A plane-wave DFT calculation with PBE was carried out for KAg2Br after structural relaxation.

Output
- Calculated volume: 29.10 Å³ per atom
- Space-group type: Immm (71)

```
KAg2Br
1.0
-1.892 2.299 6.691
1.892 -2.299 6.691
1.892 2.299 -6.691
K Ag Br
1 2 1
Direct
0.000 0.000 0.000
0.261 0.761 0.500
0.739 0.239 0.500
0.500 0.500 0.000
```

***

(x)
A plane-wave DFT calculation with PBE was carried out for KAg2Br after structural relaxation.

Output
- Calculated volume: 29.34 Å³ per atom
- Space-group type: C2/m (12)

```
KAg2Br
1.0
7.003 -1.975 0.000
7.003 1.975 0.000
-1.404 0.000 4.243
K Ag Br
1 2 1
Direct
0.000 0.000 0.000
0.272 0.272 0.272
0.728 0.728 0.728
0.500 0.500 0.500
```

***

Q: Which of them is the most stable? A: (x).

***

(w)
A plane-wave DFT calculation with PBE was carried out for KAg2Br after structural relaxation.

Output
- Calculated volume: 27.78 Å³ per atom
- Space-group type: Fm-3m (225)

```
KAg2Br
1.0
0.000 3.816 3.816
3.816 0.000 3.816
3.816 3.816 0.000
K Ag Br
1 2 1
Direct
0.000 0.000 0.000
0.250 0.250 0.250
0.750 0.750 0.750
0.500 0.500 0.500
```

***

(x)
A plane-wave DFT calculation with PBE was carried out for KAg2Br after structural relaxation.

Output
- Calculated volume: 31.11 Å³ per atom
- Space-group type: I-42d (122)

```
KAg2Br
1.0
-4.603 4.603 2.936
4.603 -4.603 2.936
4.603 4.603 -2.936
K Ag Br
2 4 2
Direct
0.000 0.000 0.000
0.750 0.250 0.500
0.173 0.625 0.048
0.375 0.423 0.548
0.577 0.125 0.952
0.875 0.827 0.452
0.250 0.750 0.500
0.500 0.500 0.000
```

***

(y)
A plane-wave DFT calculation with PBE was carried out for KAg2Br after structural relaxation.

Output
- Calculated volume: 29.36 Å³ per atom
- Space-group type: P2/m (10)

```
KAg2Br
1.0
3.965 0.000 0.000
0.000 6.647 0.000
-0.011 0.000 4.457
K Ag Br
1 2 1
Direct
0.000 0.000 0.000
0.250 0.500 0.245
0.750 0.500 0.755
0.500 0.000 0.500
```

***

Q: Which of them is the most stable? A: (y).

***

(w)
A plane-wave DFT calculation with PBE was carried out for KAg2Br after structural relaxation.

Output
- Calculated volume: 28.95 Å³ per atom
- Space-group type: R-3m (166)

```
KAg2Br
1.0
1.851 1.069 9.753
-1.851 1.069 9.753
0.000 -2.138 9.753
K Ag Br
1 2 1
Direct
0.000 0.000 0.000
0.236 0.236 0.236
0.764 0.764 0.764
0.500 0.500 0.500
```

***

(x)
A plane-wave DFT calculation with PBE was carried out for KAg2Br after structural relaxation.

Output
- Calculated volume: 26.94 Å³ per atom
- Space-group type: I-4m2 (119)

```
KAg2Br
1.0
-2.668 2.668 3.784
2.668 -2.668 3.784
2.668 2.668 -3.784
K Ag Br
1 2 1
Direct
0.000 0.000 0.000
0.250 0.750 0.500
0.500 0.500 0.000
0.750 0.250 0.500
```

***

(y)
A plane-wave DFT calculation with PBE was carried out for KAg2Br after structural relaxation.

Output
- Calculated volume: 31.13 Å³ per atom
- Space-group type: Imm2 (44)

```
KAg2Br
1.0
-2.160 3.272 4.404
2.160 -3.272 4.404
2.160 3.272 -4.404
K Ag Br
1 2 1
Direct
0.000 0.000 0.000
0.315 0.815 0.500
0.502 0.502 0.000
0.715 0.215 0.500
```

***

(z)
A plane-wave DFT calculation with PBE was carried out for KAg2Br after structural relaxation.

Output
- Calculated volume: 30.72 Å³ per atom
- Space-group type: Pmm2 (25)

```
KAg2Br
1.0
3.974 0.000 0.000
0.000 3.990 0.000
0.000 0.000 7.749
K Ag Br
1 2 1
Direct
0.000 0.000 0.000
0.000 0.000 0.569
0.500 0.500 0.550
0.500 0.500 0.180
```

***

Q: Which of them is the most stable? A: (z).

***

(w)
A plane-wave DFT calculation with PBE was carried out for K2AgBr4 after structural relaxation.

Output
- Calculated volume: 36.02 Å³ per atom
- Space-group type: P4/mmm (123)

```
K2AgBr4
1.0
7.591 0.000 0.000
0.000 7.591 0.000
0.000 0.000 4.375
K Ag Br
2 1 4
Direct
0.000 0.500 0.000
0.500 0.000 0.000
0.000 0.000 0.500
0.243 0.243 0.500
0.243 0.757 0.500
0.757 0.243 0.500
0.757 0.757 0.500
```

***

(x)
A plane-wave DFT calculation with PBE was carried out for K2AgBr4 after structural relaxation.

Output
- Calculated volume: 33.47 Å³ per atom
- Space-group type: C2/m (12)

```
K2AgBr4
1.0
7.297 -2.202 0.000
7.297 2.202 0.000
-3.977 0.000 7.290
K Ag Br
2 1 4
Direct
0.159 0.159 0.198
0.841 0.841 0.802
0.500 0.500 0.500
0.151 0.151 0.600
0.474 0.474 0.165
0.526 0.526 0.835
0.849 0.849 0.400
```

***

(y)
A plane-wave DFT calculation with PBE was carried out for K2AgBr4 after structural relaxation.

Output
- Calculated volume: 34.53 Å³ per atom
- Space-group type: I4/mmm (139)

```
K2AgBr4
1.0
-2.681 2.681 8.407
2.681 -2.681 8.407
2.681 2.681 -8.407
K Ag Br
2 1 4
Direct
0.139 0.139 0.000
0.861 0.861 0.000
0.500 0.500 0.000
0.000 0.500 0.500
0.334 0.334 0.000
0.500 0.000 0.500
0.666 0.666 0.000
```

***

Q: Which of them is the most stable? A: (w).

***

(w)
A plane-wave DFT calculation with PBE was carried out for KAgBr after structural relaxation.

Output
- Calculated volume: 39.30 Å³ per atom
- Space-group type: P4/nmm (129)

```
KAgBr
1.0
6.482 0.000 0.000
0.000 6.482 0.000
0.000 0.000 5.612
K Ag Br
2 2 2
Direct
0.250 0.750 0.000
0.750 0.250 0.000
0.250 0.250 0.495
0.750 0.750 0.505
0.250 0.250 0.994
0.750 0.750 0.006
```

***

(x)
A plane-wave DFT calculation with PBE was carried out for KAgBr after structural relaxation.

Output
- Calculated volume: 30.84 Å³ per atom
- Space-group type: Imm2 (44)

```
KAgBr
1.0
-1.882 1.954 6.291
1.882 -1.954 6.291
1.882 1.954 -6.291
K Ag Br
1 1 1
Direct
0.000 0.000 0.000
0.707 0.707 0.000
0.349 0.349 0.000
```

***

Q: Which of them is the most stable? A: (w).

***

(w)
A plane-wave DFT calculation with PBE was carried out for K2Ag3Br8 after structural relaxation.

Output
- Calculated volume: 35.36 Å³ per atom
- Space-group type: C2/m (12)

```
K2Ag3Br8
1.0
6.917 -3.850 0.000
6.917 3.850 0.000
-2.261 0.000 8.632
K Ag Br
2 3 8
Direct
0.211 0.211 0.168
0.789 0.789 0.832
0.252 0.748 0.500
0.500 0.500 0.000
0.748 0.252 0.500
0.131 0.131 0.501
0.172 0.647 0.115
0.353 0.828 0.885
0.372 0.372 0.526
0.628 0.628 0.474
0.647 0.172 0.115
0.828 0.353 0.885
0.869 0.869 0.499
```

***

(x)
A plane-wave DFT calculation with PBE was carried out for K2Ag3Br8 after structural relaxation.

Output
- Calculated volume: 33.89 Å³ per atom
- Space-group type: P4/mmm (123)

```
K2Ag3Br8
1.0
5.327 0.000 0.000
0.000 5.327 0.000
0.000 0.000 15.526
K Ag Br
2 3 8
Direct
0.000 0.000 0.200
0.000 0.000 0.800
0.500 0.500 0.000
0.500 0.500 0.353
0.500 0.500 0.647
0.000 0.500 0.000
0.000 0.500 0.351
0.000 0.500 0.649
0.500 0.000 0.000
0.500 0.000 0.351
0.500 0.000 0.649
0.500 0.500 0.168
0.500 0.500 0.832
```

***

Q: Which of them is the most stable? A: (w).

***

(w)
A plane-wave DFT calculation with PBE was carried out for K2AgBr3 after structural relaxation.

Output
- Calculated volume: 34.60 Å³ per atom
- Space-group type: Immm (71)

```
K2AgBr3
1.0
-2.191 2.714 8.728
2.191 -2.714 8.728
2.191 2.714 -8.728
K Ag Br
2 1 3
Direct
0.149 0.149 0.000
0.851 0.851 0.000
0.500 0.500 0.000
0.000 0.500 0.500
0.339 0.339 0.000
0.661 0.661 0.000
```

***

(x)
A plane-wave DFT calculation with PBE was carried out for K2AgBr3 after structural relaxation.

Output
- Calculated volume: 33.61 Å³ per atom
- Space-group type: Pnma (62)

```
K2AgBr3
1.0
9.530 0.000 0.000
0.000 4.578 0.000
0.000 0.000 18.489
K Ag Br
8 4 12
Direct
0.079 0.250 0.215
0.241 0.250 0.960
0.259 0.750 0.460
0.421 0.750 0.715
0.579 0.250 0.285
0.741 0.250 0.540
0.759 0.750 0.040
0.921 0.750 0.785
0.123 0.250 0.633
0.377 0.750 0.133
0.623 0.250 0.867
0.877 0.750 0.367
0.017 0.250 0.403
0.119 0.750 0.072
0.184 0.250 0.777
0.316 0.750 0.277
0.381 0.250 0.572
0.483 0.750 0.903
0.517 0.250 0.097
0.619 0.750 0.428
0.684 0.250 0.723
0.816 0.750 0.223
0.881 0.250 0.928
0.983 0.750 0.597
```

***

Q: Which of them is the most stable? A: (x).

***

(w)
A plane-wave DFT calculation with PBE was carried out for KAg3Br after structural relaxation.

Output
- Calculated volume: 38.51 Å³ per atom
- Space-group type: Pm-3m (221)

```
KAg3Br
1.0
5.775 0.000 0.000
0.000 5.775 0.000
0.000 0.000 5.775
K Ag Br
1 3 1
Direct
0.000 0.000 0.000
0.000 0.000 0.500
0.000 0.500 0.000
0.500 0.000 0.000
0.500 0.500 0.500
```

***

(x)
A plane-wave DFT calculation with PBE was carried out for KAg3Br after structural relaxation.

Output
- Calculated volume: 33.21 Å³ per atom
- Space-group type: Pm-3m (221)

```
KAg3Br
1.0
5.496 0.000 0.000
0.000 5.496 0.000
0.000 0.000 5.496
K Ag Br
1 3 1
Direct
0.000 0.000 0.000
0.000 0.500 0.500
0.500 0.000 0.500
0.500 0.500 0.000
0.500 0.500 0.500
```

***

Q: Which of them is the most stable? A: (x).

***

(w)
A plane-wave DFT calculation with PBE was carried out for K2AgMoBr6 after structural relaxation.

Output
- Calculated volume: 32.19 Å³ per atom
- Space-group type: Fm-3m (225)

```
K2AgMoBr6
1.0
0.000 5.440 5.440
5.440 0.000 5.440
5.440 5.440 0.000
K Ag Mo Br
2 1 1 6
Direct
0.250 0.250 0.250
0.750 0.750 0.750
0.000 0.000 0.000
0.500 0.500 0.500
0.260 0.260 0.740
0.260 0.740 0.260
0.260 0.740 0.740
0.740 0.260 0.260
0.740 0.260 0.740
0.740 0.740 0.260
```

***

(x)
A plane-wave DFT calculation with PBE was carried out for K2AgMoBr6 after structural relaxation.

Output
- Calculated volume: 32.98 Å³ per atom
- Space-group type: R-3m (166)

```
K2AgMoBr6
1.0
3.784 2.185 13.300
-3.784 2.185 13.300
0.000 -4.369 13.300
K Ag Mo Br
4 2 2 12
Direct
0.129 0.129 0.129
0.305 0.305 0.305
0.695 0.695 0.695
0.871 0.871 0.871
0.416 0.416 0.416
0.584 0.584 0.584
0.000 0.000 0.000
0.500 0.500 0.500
0.132 0.628 0.628
0.200 0.200 0.715
0.200 0.715 0.200
0.285 0.800 0.800
0.372 0.372 0.868
0.372 0.868 0.372
0.628 0.132 0.628
0.628 0.628 0.132
0.715 0.200 0.200
0.800 0.285 0.800
0.800 0.800 0.285
0.868 0.372 0.372
```

***

Q: Which of them is the most stable? A: (x).